Compound: NaNiBr2O
Source: Alexandria
Functional: PBE+U
Structure: optimized geometry

Computed properties:
energy	-2.221	eV/atom

Geometry as CIF:
```
data_NaNiBr2O
_cell_length_a 4.9567
_cell_length_b 4.9567
_cell_length_c 4.1479
_cell_angle_alpha 90.00
_cell_angle_beta 90.00
_cell_angle_gamma 90.00
_symmetry_space_group_name_H-M 'P 4/m m m'
_symmetry_Int_Tables_number 123
_symmetry_space_group_name_Hall '-P 4 2'
loop_
_atom_site_label
_atom_site_fract_x
_atom_site_fract_y
_atom_site_fract_z
Na1 0.0000 0.0000 0.0000
Ni1 0.5000 0.5000 0.0000
Br1 0.0000 0.5000 0.5000
O1 0.0000 0.0000 0.5000
```